[1]
# NaInNi2Cl

An optimized crystal structure of NaInNi2Cl (PBE, Alexandria via LeMat-Bulk).

It has space group P4/mmm (No. 123), with a = 4.287 Å, b = 4.287 Å, c = 4.681 Å, α = 90.00°, β = 90.00° and γ = 90.00°. The distinct sites, in fractional coordinates, are Na at (0.000, 0.000, 0.000), In at (0.500, 0.500, 0.000), Ni at (0.000, 0.500, 0.500) and Cl at (0.000, 0.000, 0.500).

[2]
# NaNpInCl6

An optimized crystal structure of NaNpInCl6 (PBE, Alexandria via LeMat-Bulk).

It has space group P-31c (No. 163), with a = 7.1692 Å, b = 7.1692 Å, c = 13.4746 Å, α = 90.00°, β = 90.00° and γ = 120.00°. The distinct sites, in fractional coordinates, are Na at (0.3333, 0.6667, 0.2500), Np at (0.3333, 0.6667, 0.7500), In at (0.0000, 0.0000, 0.0000) and Cl at (0.0242, 0.3752, 0.6389).

[3]
# Na2NpInCl6

An optimized crystal structure of Na2NpInCl6 (PBE, Alexandria via LeMat-Bulk).

It has space group R3 (No. 146, hexagonal axes), with a = 7.2684 Å, b = 7.2684 Å, c = 19.9643 Å, α = 90.00°, β = 90.00° and γ = 120.00°. The distinct sites, in fractional coordinates, are Na at (0.0000, 0.0000, 0.0000), Na at (0.0000, 0.0000, 0.4884), Np at (0.0000, 0.0000, 0.6850), In at (0.0000, 0.0000, 0.2015), Cl at (0.0114, 0.3341, 0.7531) and Cl at (0.0274, 0.6183, 0.2605).

[4]
# NaPaInCl6

An optimized crystal structure of NaPaInCl6 (PBE, Alexandria via LeMat-Bulk).

It has space group P-31c (No. 163), with a = 7.2158 Å, b = 7.2158 Å, c = 13.6674 Å, α = 90.00°, β = 90.00° and γ = 120.00°. The distinct sites, in fractional coordinates, are Na at (0.3333, 0.6667, 0.2500), Pa at (0.3333, 0.6667, 0.7500), In at (0.0000, 0.0000, 0.0000) and Cl at (0.0208, 0.3736, 0.6391).

The formation energy (no corrections) results, record by record, are as follows: 0.272, -1.529, -1.569, -1.668 eV/atom.